# ScCdPd, optimized geometry, DFT PBE
# - E: -4.6024 eV per atom
# - Formation energy: -132 kJ/mol of formula units
data_ScCdPd
_chemical_formula_sum 'Sc4 Cd4 Pd4'
_symmetry_space_group_name_H-M 'F -4 3 m'
_symmetry_Int_Tables_number 216
_symmetry_space_group_name_Hall 'F -4 2 3'
_cell_length_a 6.433
_cell_length_b 6.433
_cell_length_c 6.433
_cell_angle_alpha 90.00
_cell_angle_beta 90.00
_cell_angle_gamma 90.00
loop_
_atom_site_label
_atom_site_type_symbol
_atom_site_fract_x
_atom_site_fract_y
_atom_site_fract_z
Sc1 Sc 0.000 0.000 0.000
Cd1 Cd 0.000 0.000 0.500
Pd1 Pd 0.250 0.250 0.250